Na3In3WO8 | PBE with a Hubbard U | relaxed

POSCAR file:
```
Na3In3WO8
1.0
-4.451 -4.403 -2.030
1.914 0.100 6.256
-3.891 4.990 -2.292
Na In W O
3 3 1 8
direct
0.000 0.000 0.000
0.000 0.500 0.000
0.500 0.500 0.000
0.500 0.000 0.500
0.500 0.500 0.500
0.000 0.500 0.500
0.000 0.000 0.500
0.261 0.522 0.291
0.739 0.478 0.709
0.778 0.557 0.297
0.222 0.443 0.703
0.774 0.025 0.302
0.226 0.975 0.698
0.251 0.025 0.302
0.749 0.975 0.698
```

Total magnetic moment in Bohr magnetons per cell: 2.00
Calculated total energy in eV/atom: -5.6196
Calculated density in Mg/m³: 5.80